The following is a GGA-PBE calculation of crystalline TbGd3As4O4 at its relaxed geometry, from OQMD via LeMat-Bulk.

Unit cell a=5.617 b=5.618 c=7.172 alpha=91.25 beta=91.60 gamma=90.32
Sites, in units of the cell vectors:
As (0.269, 0.020, 0.499)
As (0.769, 0.520, 0.499)
As (0.233, 0.482, 0.502)
As (0.733, 0.982, 0.502)
Gd (0.505, 0.253, 0.154)
Gd (0.005, 0.753, 0.154)
Gd (0.994, 0.246, 0.845)
O (0.749, 0.999, 0.001)
O (0.251, 0.501, 0.001)
O (0.748, 0.500, 0.998)
O (0.250, 0.998, 0.998)
Tb (0.494, 0.746, 0.847)

energy = -0.521 Ry per atom